## Y3ScPd4 (PBE-GGA)

Data for a relaxed Y3ScPd4 crystal.

Cell: 3.401 4.948 9.920 Å, 90.00 90.00 90.00°
Fractional coordinates of all 8 atoms:
1 Pd 0.000 0.500 0.768
2 Pd 0.000 0.500 0.232
3 Pd 0.000 0.000 0.000
4 Pd 0.000 0.000 0.500
5 Sc 0.500 0.500 0.000
6 Y 0.500 0.000 0.755
7 Y 0.500 0.500 0.500
8 Y 0.500 0.000 0.245

## Properties
E_form = -0.87 eV/atom
final energy = -6.68 eV per atom